Entry 1:
First-principles (PBE-GGA) data for a relaxed structure of LaDyHo2, as listed in Alexandria via LeMat-Bulk.

Computed properties:
The calculation puts the total DFT energy (no corrections) at -4.642 eV/atom. As for the formation energy from the elements: 0.029 eV per atom.

Cell: 10.1908 5.0859 10.0610 Å, 90.00 90.00 90.00°
Space group Pnma (No. 62)
Asymmetric unit:
La  0.1271  0.2500  0.9998 (multiplicity 4)
Dy  0.1247  0.7500  0.2523 (multiplicity 4)
Ho  0.1216  0.2500  0.5002 (multiplicity 4)
Ho  0.1248  0.7500  0.7479 (multiplicity 4)

Entry 2:
First-principles (PBE-GGA) data for a relaxed structure of AsPb2Au, as listed in Alexandria via LeMat-Bulk.

Computed properties:
The calculation puts the total DFT energy (no corrections) at -3.800 eV/atom. As for the formation energy from the elements: 0.036 eV per atom.

Cell: 4.2023 4.2023 21.1437 Å, 90.00 90.00 120.00°
Space group R3m (No. 160, hexagonal axes)
Asymmetric unit:
As  0.0000  0.0000  0.0000 (multiplicity 3)
Pb  0.0000  0.0000  0.2535 (multiplicity 3)
Pb  0.0000  0.0000  0.4696 (multiplicity 3)
Au  0.0000  0.0000  0.7271 (multiplicity 3)

Entry 3:
First-principles (PBE-GGA) data for a relaxed structure of Np2UIr, as listed in Alexandria via LeMat-Bulk.

Computed properties:
The calculation puts the total DFT energy (no corrections) at -10.666 eV/atom. As for the formation energy from the elements: 0.842 eV per atom.

Cell: 3.5599 3.5599 23.8495 Å, 90.00 90.00 120.00°
Space group R-3m (No. 166, hexagonal axes)
Asymmetric unit:
Np  0.0000  0.0000  0.1049 (multiplicity 6)
U  0.0000  0.0000  0.5000 (multiplicity 3)
Ir  0.0000  0.0000  0.0000 (multiplicity 3)

Entry 4:
First-principles (PBE-GGA) data for a relaxed structure of SrAl2TcHg, as listed in Alexandria via LeMat-Bulk.

Computed properties:
The calculation puts the total DFT energy (no corrections) at -4.090 eV/atom. As for the formation energy from the elements: -0.123 eV per atom.

Cell: 4.8105 4.8105 5.3495 Å, 90.00 90.00 90.00°
Space group P4/mmm (No. 123)
Asymmetric unit:
Sr  0.0000  0.0000  0.0000 (multiplicity 1)
Al  0.0000  0.5000  0.5000 (multiplicity 2)
Tc  0.5000  0.5000  0.5000 (multiplicity 1)
Hg  0.5000  0.5000  0.0000 (multiplicity 1)

Entry 5:
First-principles (PBE-GGA) data for a relaxed structure of SbOs, as listed in Alexandria via LeMat-Bulk.

Computed properties:
The calculation puts the total DFT energy (no corrections) at -7.192 eV/atom. The value obtained for the uncorrected formation energy is 0.48 eV per atom.

Cell: 4.1993 9.1907 6.1173 Å, 90.00 90.00 90.00°
Space group Amm2 (No. 38)
Asymmetric unit:
Sb  0.0000  0.0000  0.0000 (multiplicity 2)
Sb  0.5000  0.1741  0.6036 (multiplicity 4)
Os  0.0000  0.2271  0.3178 (multiplicity 4)
Os  0.5000  0.0000  0.2661 (multiplicity 2)

Entry 6:
First-principles (PBE-GGA) data for a relaxed structure of CdHgAs4, as listed in Alexandria via LeMat-Bulk.

Computed properties:
The calculation puts the total DFT energy (no corrections) at -3.095 eV/atom. As for the formation energy from the elements: 0.208 eV per atom.

Cell: 9.4591 9.4591 9.4591 Å, 90.00 90.00 90.00°
Space group F-43m (No. 216)
Asymmetric unit:
Cd  0.0000  0.0000  0.0000 (multiplicity 4)
Hg  0.2500  0.2500  0.7500 (multiplicity 4)
As  0.0922  0.0922  0.4078 (multiplicity 16)

Entry 7:
First-principles (PBE-GGA) data for a relaxed structure of TbCdTc2O8, as listed in Alexandria via LeMat-Bulk.

Computed properties:
The calculation puts the total DFT energy (no corrections) at -7.174 eV/atom. The value obtained for the uncorrected formation energy is -1.68 eV per atom.

Cell: 6.1855 6.1855 7.7295 Å, 90.00 90.00 120.00°
Space group P-3m1 (No. 164)
Asymmetric unit:
Tb  0.0000  0.0000  0.0000 (multiplicity 1)
Cd  0.0000  0.0000  0.5000 (multiplicity 1)
Tc  0.3333  0.6667  0.2375 (multiplicity 2)
O  0.1763  0.3526  0.1623 (multiplicity 6)
O  0.3333  0.6667  0.4608 (multiplicity 2)

Entry 8:
First-principles (PBE-GGA) data for a relaxed structure of ScTaO3, as listed in Alexandria via LeMat-Bulk.

Computed properties:
The calculation puts the total DFT energy (no corrections) at -8.075 eV/atom. The value obtained for the uncorrected formation energy is -1.46 eV per atom.

Cell: 3.9414 3.9414 3.9414 Å, 90.00 90.00 90.00°
Space group Pm-3m (No. 221)
Asymmetric unit:
Sc  0.0000  0.0000  0.0000 (multiplicity 1)
Ta  0.5000  0.5000  0.5000 (multiplicity 1)
O  0.0000  0.0000  0.5000 (multiplicity 3)

Table of V (Å³/atom), in record order: 32.591; 26.946; 21.813; 24.759; 19.674; 35.264; 21.343; 12.245